The following is a PBE-GGA calculation of a relaxed structure of PmSm3Au4, from Alexandria.

Unit cell a=3.8258 b=7.1515 c=16.0064 alpha=90.00 beta=90.00 gamma=90.00
Fractional coordinates of all 16 atoms:
Pm1 0.0000 0.0000 0.0000
Pm2 0.5000 0.5000 0.5000
Sm1 0.0000 0.0000 0.5000
Sm2 0.0000 0.5000 0.2952
Sm3 0.0000 0.5000 0.7048
Sm4 0.5000 0.0000 0.2048
Sm5 0.5000 0.0000 0.7952
Sm6 0.5000 0.5000 0.0000
Au1 0.0000 0.2980 0.1299
Au2 0.0000 0.2980 0.8701
Au3 0.0000 0.7020 0.1299
Au4 0.0000 0.7020 0.8701
Au5 0.5000 0.2020 0.3701
Au6 0.5000 0.2020 0.6299
Au7 0.5000 0.7980 0.3701
Au8 0.5000 0.7980 0.6299

Calculated formation energy (kcal/mol of atoms): -14.6
Spin magnetization (μB/atom): 0.000
Relative energy among the computed polymorphs (eV per atom): 0.1585
ρ (Mg/m³): 10.49

=====

The following is a PBE-GGA calculation of a relaxed structure of PmSm3Au4, from Alexandria.

Unit cell a=9.0113 b=9.0113 c=9.0113 alpha=33.60 beta=33.60 gamma=33.60
Fractional coordinates of all 8 atoms:
Pm1 0.0000 0.0000 0.0000
Sm1 0.2499 0.2499 0.2499
Sm2 0.5000 0.5000 0.5000
Sm3 0.7501 0.7501 0.7501
Au1 0.1256 0.1256 0.1256
Au2 0.3756 0.3756 0.3756
Au3 0.6244 0.6244 0.6244
Au4 0.8744 0.8744 0.8744

Calculated formation energy (kcal/mol of atoms): -18.2
Spin magnetization (μB/atom): 0.000
Relative energy among the computed polymorphs (eV per atom): 0.0000
ρ (Mg/m³): 11.51

=====

The following is a PBE-GGA calculation of a relaxed structure of PmSm2Au3, from Alexandria.

Unit cell a=11.2851 b=11.2851 c=6.5122 alpha=90.00 beta=90.00 gamma=157.12
Fractional coordinates of all 12 atoms:
Pm1 0.1794 0.8206 0.7500
Pm2 0.8206 0.1794 0.2500
Sm1 0.3577 0.6423 0.7500
Sm2 0.4708 0.5292 0.2500
Sm3 0.5292 0.4708 0.7500
Sm4 0.6423 0.3577 0.2500
Au1 0.0677 0.9323 0.0332
Au2 0.0677 0.9323 0.4668
Au3 0.2318 0.7682 0.2500
Au4 0.7682 0.2318 0.7500
Au5 0.9323 0.0677 0.5332
Au6 0.9323 0.0677 0.9668

Calculated formation energy (kcal/mol of atoms): -15.2
Spin magnetization (μB/atom): 0.000
Relative energy among the computed polymorphs (eV per atom): 0.1319
ρ (Mg/m³): 10.68

=====

> Among the records above, which one has the lowest relative energy among the computed polymorphs?

number 2

=====

> Look up the spin magnetization of the second one.

0.000 μB/atom

=====

> What is the formula in the third record?

PmSm2Au3

=====

> Which value of ρ does entry 3 give?

10.68 Mg/m³